A plane-wave DFT calculation with PBE was carried out for an optimized crystal structure of Na2DyReN4.

Structure (CIF):
```
data_Na2DyReN4
_chemical_formula_sum 'Na4 Dy2 Re2 N8'
_symmetry_space_group_name_H-M 'P m n 21'
_symmetry_Int_Tables_number 31
_symmetry_space_group_name_Hall 'P 2ac -2'
_cell_length_a 6.9808
_cell_length_b 6.7042
_cell_length_c 5.6614
_cell_angle_alpha 90.00
_cell_angle_beta 90.00
_cell_angle_gamma 90.00
loop_
_atom_site_label
_atom_site_type_symbol
_atom_site_fract_x
_atom_site_fract_y
_atom_site_fract_z
_atom_site_occupancy
Na1 Na 0.2464 0.1546 0.0000 1
Dy1 Dy 0.0000 0.3632 0.5060 1
Re1 Re 0.0000 0.6693 0.0178 1
N1 N 0.0000 0.4112 0.9062 1
N2 N 0.0000 0.6585 0.3388 1
N3 N 0.2205 0.8003 0.9267 1
```

Values from the calculation:
raw formation energy: -494 kJ/mol of formula units
final energy: -7.26 eV per atom
spin magnetization: 0.00 μB per formula unit